[1]
# K2NpReO6

Crystalline K2NpReO6 at its relaxed geometry (PBE, the Alexandria database).

Calculated values
* E: -78.6 eV per cell
* D(E_F): 0.43 states/eV per atom
* raw formation energy: -2.13 eV per atom

Lattice parameters (Å, degrees): 4.1212 5.8578 5.8578 90.00 90.00 90.00
With the nearest neighbours (Å) after each atom.
Element x y z (fractional)
1 K 0.1446 0.5000 0.0000  12 O 2.92-2.93
2 K 0.1446 0.0000 0.5000  12 O 2.92-2.93
3 Np 0.6447 0.5000 0.5000  6 O 2.06-2.17
4 Re 0.6446 0.0000 0.0000  6 O 1.97-2.06
5 O 0.6447 0.2375 0.2375  1 Re 1.97, 1 Np 2.17
6 O 0.6447 0.2375 0.7625  1 Re 1.97, 1 Np 2.17
7 O 0.1447 0.5000 0.5000  2 Np 2.06
8 O 0.1447 0.0000 0.0000  2 Re 2.06
9 O 0.6447 0.7625 0.7625  1 Re 1.97, 1 Np 2.17
10 O 0.6447 0.7625 0.2375  1 Re 1.97, 1 Np 2.17

[2]
# KNp2RhO8

Crystalline KNp2RhO8 at its relaxed geometry (PBE, the Alexandria database).

Calculated values
* E: -99.2 eV per cell
* D(E_F): 0.57 states/eV per atom
* raw formation energy: -2.10 eV per atom

Lattice parameters (Å, degrees): 4.9698 4.9619 7.0408 87.82 87.87 86.97
With the nearest neighbours (Å) after each atom.
Element x y z (fractional)
1 K 0.0000 0.0000 0.5000  6 O 2.44-2.55
2 Np 0.4858 0.4859 0.7589  4 O 1.97-2.06
3 Np 0.5142 0.5141 0.2411  4 O 1.97-2.06
4 Rh 0.0000 0.0000 0.0000  6 O 2.04-2.13
5 O 0.2088 0.7815 0.2032  1 Np 1.98, 1 Rh 2.04
6 O 0.7029 0.7050 0.0120  1 Np 2.06, 1 Rh 2.13
7 O 0.7836 0.2106 0.2030  1 Np 1.98, 1 Rh 2.04
8 O 0.7912 0.2185 0.7968  1 Np 1.98, 1 Rh 2.04
9 O 0.2971 0.2950 0.9880  1 Np 2.06, 1 Rh 2.13
10 O 0.2164 0.7894 0.7970  1 Np 1.98, 1 Rh 2.04
11 O 0.6601 0.6636 0.5345  1 Np 1.97
12 O 0.3399 0.3364 0.4655  1 Np 1.97

[3]
# KNpRhO6

Crystalline KNpRhO6 at its relaxed geometry (PBE, the Alexandria database).

Calculated values
* E: -67.4 eV per cell
* D(E_F): 0.57 states/eV per atom
* raw formation energy: -1.81 eV per atom

Lattice parameters (Å, degrees): 5.3749 5.3749 6.0676 90.00 90.00 60.00
With the nearest neighbours (Å) after each atom.
Element x y z (fractional)
1 K 0.0000 0.0000 0.0000  6 O 2.77
2 Np 0.3333 0.3333 0.5000  6 O 2.03
3 Rh 0.6666 0.6667 0.5000  6 O 2.02
4 O 0.9985 0.3682 0.3205  1 Rh 2.02, 1 Np 2.03
5 O 0.3682 0.9986 0.6794  1 Rh 2.02, 1 Np 2.03
6 O 0.6332 0.3682 0.6794  1 Rh 2.02, 1 Np 2.03
7 O 0.9985 0.6333 0.6794  1 Rh 2.02, 1 Np 2.03
8 O 0.3682 0.6333 0.3205  1 Rh 2.02, 1 Np 2.03
9 O 0.6332 0.9986 0.3205  1 Rh 2.02, 1 Np 2.03

[4]
# K2Np3RuO12

Crystalline K2Np3RuO12 at its relaxed geometry (PBE, the Alexandria database).

Calculated values
* E: -151.5 eV per cell
* D(E_F): 0.87 states/eV per atom
* raw formation energy: -2.32 eV per atom

Lattice parameters (Å, degrees): 7.5134 7.5134 7.5134 62.81 62.81 62.81
With the nearest neighbours (Å) after each atom.
Element x y z (fractional)
1 K 0.6396 0.6396 0.6396  9 O 3.28-3.43
2 K 0.3604 0.3604 0.3604  9 O 3.28-3.43
3 Np 0.5000 0.0000 0.0000  6 O 2.00-2.11
4 Np 0.0000 0.5000 0.0000  6 O 2.00-2.11
5 Np 0.0000 0.0000 0.5000  6 O 2.00-2.11
6 Ru 0.0000 0.0000 0.0000  6 O 1.98
7 O 0.3230 0.3230 0.9407  2 Np 2.11
8 O 0.9398 0.9398 0.3036  1 Ru 1.98, 1 Np 2.00
9 O 0.3036 0.9398 0.9398  1 Ru 1.98, 1 Np 2.00
10 O 0.9407 0.3230 0.3230  2 Np 2.11
11 O 0.9398 0.3036 0.9398  1 Ru 1.98, 1 Np 2.00
12 O 0.3230 0.9407 0.3230  2 Np 2.11
13 O 0.6770 0.6770 0.0593  2 Np 2.11
14 O 0.0602 0.0602 0.6964  1 Ru 1.98, 1 Np 2.00
15 O 0.6964 0.0602 0.0602  1 Ru 1.98, 1 Np 2.00
16 O 0.0593 0.6770 0.6770  2 Np 2.11
17 O 0.0602 0.6964 0.0602  1 Ru 1.98, 1 Np 2.00
18 O 0.6770 0.0593 0.6770  2 Np 2.11

[5]
# KNpS2O

Crystalline KNpS2O at its relaxed geometry (PBE, the Alexandria database).

Calculated values
* E: -71.6 eV per cell
* D(E_F): 1.16 states/eV per atom
* raw formation energy: -1.71 eV per atom

Lattice parameters (Å, degrees): 4.0406 7.5247 8.8220 106.15 90.00 90.00
With the nearest neighbours (Å) after each atom.
Element x y z (fractional)
1 K 0.2500 0.6957 0.3174  2 O 2.73
2 K 0.7500 0.3043 0.6826  2 O 2.73
3 Np 0.2500 0.8152 0.8250  1 O 1.86
4 Np 0.7500 0.1848 0.1750  1 O 1.86
5 S 0.7500 0.8437 0.6390  2 Np 2.65
6 S 0.7500 0.8200 0.0387  3 Np 2.67-2.76
7 S 0.2500 0.1563 0.3610  2 Np 2.65
8 S 0.2500 0.1800 0.9613  3 Np 2.67-2.76
9 O 0.2500 0.5579 0.7603  1 Np 1.86
10 O 0.7500 0.4421 0.2397  1 Np 1.86

[6]
# KNpSO

Crystalline KNpSO at its relaxed geometry (PBE, the Alexandria database).

Calculated values
* E: -30.2 eV per cell
* D(E_F): 2.17 states/eV per atom
* raw formation energy: -1.78 eV per atom

Lattice parameters (Å, degrees): 3.7642 3.7642 7.2953 75.05 75.05 60.00
With the nearest neighbours (Å) after each atom.
Element x y z (fractional)
1 K 0.5036 0.5036 0.4890  3 S 3.05, 3 O 3.08
2 Np 0.9868 0.9868 0.0395  3 O 2.37
3 S 0.7347 0.7347 0.7959  3 Np 2.76, 3 K 3.05
4 O 0.2748 0.2748 0.1756  3 Np 2.37

[7]
# K2NpSO6

Crystalline K2NpSO6 at its relaxed geometry (PBE, the Alexandria database).

Calculated values
* E: -66.9 eV per cell
* D(E_F): 0.46 states/eV per atom
* raw formation energy: -1.79 eV per atom

Lattice parameters (Å, degrees): 5.5891 5.5893 6.4367 64.26 64.26 90.00
With the nearest neighbours (Å) after each atom.
Element x y z (fractional)
1 K 0.7502 0.2499 0.4999  4 O 2.87
2 K 0.2498 0.7501 0.5001  4 O 2.87
3 Np 0.0000 0.0000 0.0000  2 O 1.89
4 S 0.5000 0.5000 0.0000  4 O 1.80
5 O 0.1861 0.1861 0.6283  1 Np 1.89
6 O 0.7278 0.7276 0.9997  1 S 1.80
7 O 0.2725 0.7276 0.0000  1 S 1.80
8 O 0.7275 0.2723 0.0000  1 S 1.80
9 O 0.2722 0.2724 0.0003  1 S 1.80
10 O 0.8139 0.8139 0.3717  1 Np 1.89

[8]
# K2NpSbO6

Crystalline K2NpSbO6 at its relaxed geometry (PBE, the Alexandria database).

Calculated values
* E: -140.7 eV per cell
* D(E_F): 0.53 states/eV per atom
* raw formation energy: -2.13 eV per atom

Lattice parameters (Å, degrees): 5.9144 5.9145 8.3630 90.00 90.00 90.00
With the nearest neighbours (Å) after each atom.
Element x y z (fractional)
1 K 0.5000 0.7501 0.2500  12 O 2.96
2 K 0.0000 0.2499 0.7500  12 O 2.96
3 K 0.5000 0.7501 0.7500  12 O 2.96
4 K 0.0000 0.2499 0.2500  12 O 2.96
5 Np 0.5000 0.2499 0.5000  6 O 2.13
6 Np 0.0000 0.7501 0.0000  6 O 2.13
7 Sb 0.0000 0.7499 0.5000  6 O 2.05
8 Sb 0.5000 0.2501 0.0000  6 O 2.05
9 O 0.5000 0.2500 0.2449  1 Sb 2.05, 1 Np 2.13
10 O 0.5000 0.2500 0.7551  1 Sb 2.05, 1 Np 2.13
11 O 0.0000 0.7500 0.2551  1 Sb 2.05, 1 Np 2.13
12 O 0.0000 0.7500 0.7449  1 Sb 2.05, 1 Np 2.13
13 O 0.2449 0.9948 0.5000  1 Sb 2.05, 1 Np 2.13
14 O 0.7551 0.9948 0.5000  1 Sb 2.05, 1 Np 2.13
15 O 0.2448 0.5051 0.5000  1 Sb 2.05, 1 Np 2.13
16 O 0.7552 0.5051 0.5000  1 Sb 2.05, 1 Np 2.13
17 O 0.7448 0.4949 0.0000  1 Sb 2.05, 1 Np 2.13
18 O 0.2552 0.4949 0.0000  1 Sb 2.05, 1 Np 2.13
19 O 0.2551 0.0052 0.0000  1 Sb 2.05, 1 Np 2.13
20 O 0.7449 0.0052 0.0000  1 Sb 2.05, 1 Np 2.13

[9]
# K2NpScO6

Crystalline K2NpScO6 at its relaxed geometry (PBE, the Alexandria database).

Calculated values
* E: -155.4 eV per cell
* raw formation energy: -2.65 eV per atom

Lattice parameters (Å, degrees): 5.9002 5.9000 8.3446 90.00 90.00 90.00
With the nearest neighbours (Å) after each atom.
Element x y z (fractional)
1 K 0.5000 0.7501 0.2499  12 O 2.95
2 K 0.0000 0.2499 0.7499  12 O 2.95
3 K 0.5000 0.7501 0.7501  12 O 2.95
4 K 0.0000 0.2499 0.2501  12 O 2.95
5 Np 0.5000 0.2499 0.5000  6 O 2.03-2.04
6 Np 0.0000 0.7501 0.0000  6 O 2.03-2.04
7 Sc 0.0000 0.7498 0.5000  6 O 2.14
8 Sc 0.5000 0.2502 0.0000  6 O 2.14
9 O 0.5000 0.2499 0.2561  1 Np 2.04, 1 Sc 2.14
10 O 0.5000 0.2499 0.7439  1 Np 2.04, 1 Sc 2.14
11 O 0.0000 0.7501 0.2439  1 Np 2.04, 1 Sc 2.14
12 O 0.0000 0.7501 0.7561  1 Np 2.04, 1 Sc 2.14
13 O 0.2562 0.0060 0.5000  1 Np 2.03, 1 Sc 2.14
14 O 0.7438 0.0060 0.5000  1 Np 2.03, 1 Sc 2.14
15 O 0.2561 0.4936 0.5000  1 Np 2.03, 1 Sc 2.14
16 O 0.7439 0.4936 0.5000  1 Np 2.03, 1 Sc 2.14
17 O 0.7561 0.5064 0.0000  1 Np 2.03, 1 Sc 2.14
18 O 0.2439 0.5064 0.0000  1 Np 2.03, 1 Sc 2.14
19 O 0.2438 0.9940 0.0000  1 Np 2.03, 1 Sc 2.14
20 O 0.7562 0.9940 0.0000  1 Np 2.03, 1 Sc 2.14

[10]
# K4Np3ScO12

Crystalline K4Np3ScO12 at its relaxed geometry (PBE, the Alexandria database).

Calculated values
* E: -163.2 eV per cell
* D(E_F): 0.31 states/eV per atom
* raw formation energy: -2.71 eV per atom

Lattice parameters (Å, degrees): 7.3400 7.3400 7.3400 109.47 109.47 109.47
With the nearest neighbours (Å) after each atom.
Element x y z (fractional)
1 K 0.5000 0.5000 0.5000  12 O 3.00
2 K 0.0000 0.0000 0.5000  12 O 3.00
3 K 0.5000 0.0000 0.0000  12 O 3.00
4 K 0.0000 0.5000 0.0000  12 O 3.00
5 Np 0.5000 0.0000 0.5000  6 O 2.05-2.12
6 Np 0.5000 0.5000 0.0000  6 O 2.05-2.12
7 Np 0.0000 0.5000 0.5000  6 O 2.05-2.12
8 Sc 0.0000 0.0000 0.0000  6 O 2.19
9 O 0.2500 0.5000 0.7500  2 Np 2.12
10 O 0.7413 0.0000 0.7413  1 Np 2.05, 1 Sc 2.19
11 O 0.2587 0.0000 0.2587  1 Np 2.05, 1 Sc 2.19
12 O 0.7500 0.5000 0.2500  2 Np 2.12
13 O 0.7413 0.7413 0.0000  1 Np 2.05, 1 Sc 2.19
14 O 0.2587 0.2587 0.0000  1 Np 2.05, 1 Sc 2.19
15 O 0.7500 0.2500 0.5000  2 Np 2.12
16 O 0.2500 0.7500 0.5000  2 Np 2.12
17 O 0.5000 0.2500 0.7500  2 Np 2.12
18 O 0.0000 0.7413 0.7413  1 Np 2.05, 1 Sc 2.19
19 O 0.5000 0.7500 0.2500  2 Np 2.12
20 O 0.0000 0.2587 0.2587  1 Np 2.05, 1 Sc 2.19

[11]
# KNpSc2O8

Crystalline KNpSc2O8 at its relaxed geometry (PBE, the Alexandria database).

Calculated values
* E: -97.3 eV per cell
* D(E_F): 0.25 states/eV per atom
* raw formation energy: -2.57 eV per atom

Lattice parameters (Å, degrees): 4.9851 4.9824 7.2101 90.00 90.00 88.96
With the nearest neighbours (Å) after each atom.
Element x y z (fractional)
1 K 0.0000 0.0000 0.5000  6 O 2.58-2.80
2 Np 0.0000 0.0000 0.0000  6 O 1.96-2.18
3 Sc 0.5000 0.5000 0.7845  6 O 2.07-2.19
4 Sc 0.5000 0.5000 0.2155  6 O 2.07-2.19
5 O 0.1949 0.8052 0.1955  1 Np 1.96, 1 Sc 2.14
6 O 0.6932 0.6930 0.0000  2 Sc 2.07, 1 Np 2.18
7 O 0.8051 0.1948 0.1955  1 Np 1.96, 1 Sc 2.14
8 O 0.8051 0.1948 0.8045  1 Np 1.96, 1 Sc 2.14
9 O 0.3068 0.3070 0.0000  2 Sc 2.07, 1 Np 2.18
10 O 0.1949 0.8052 0.8045  1 Np 1.96, 1 Sc 2.14
11 O 0.6058 0.6068 0.5000  1 O 1.51
12 O 0.3942 0.3932 0.5000  1 O 1.51

[12]
# KNpSeO5

Crystalline KNpSeO5 at its relaxed geometry (PBE, the Alexandria database).

Calculated values
* E: -115.7 eV per cell
* D(E_F): 0.46 states/eV per atom
* raw formation energy: -1.94 eV per atom

Lattice parameters (Å, degrees): 6.3529 6.3529 7.9926 92.43 92.43 114.44
With the nearest neighbours (Å) after each atom.
Element x y z (fractional)
1 K 0.3484 0.6516 0.2500  5 O 2.89-2.98
2 K 0.6516 0.3484 0.7500  5 O 2.89-2.98
3 Np 0.0000 0.0000 0.5000  2 O 1.85
4 Np 0.0000 0.0000 0.0000  2 O 1.85
5 Se 0.7030 0.2970 0.2500  2 O 1.72
6 Se 0.2970 0.7030 0.7500  2 O 1.72
7 O 0.0696 0.9304 0.2500  2 Np 2.13
8 O 0.9304 0.0696 0.7500  2 Np 2.13
9 O 0.8941 0.2934 0.1051  1 Se 1.72
10 O 0.1059 0.7066 0.8949  1 Se 1.72
11 O 0.7066 0.1059 0.3949  1 Se 1.72
12 O 0.2934 0.8941 0.6051  1 Se 1.72
13 O 0.7804 0.6980 0.5083  1 Np 1.85
14 O 0.2196 0.3020 0.4917  1 Np 1.85
15 O 0.3020 0.2196 0.9917  1 Np 1.85
16 O 0.6980 0.7804 0.0083  1 Np 1.85

Q: Which value of E does entry 3 give?
A: -67.4 eV per cell